No. 1
Here is a relaxed structure of WAu2Se from Alexandria via LeMat-Bulk. Energies are from PBE.

Summary:
Energy relative to the elements, uncorrected ... 0.330 eV/atom
SG ... No. 44

Geometry as POSCAR:
```
WAu2Se
1.0
-1.4945 5.2957 4.0540
-4.0814 0.7609 5.4293
5.1785 -2.7374 -3.5219
Au Se W
2 1 1
direct
0.0765 0.0765 0.0000 Au
0.7163 0.2163 0.5000 Au
0.4323 0.4323 0.0000 Se
0.2749 0.7749 0.5000 W
```

No. 2
Here is a relaxed structure of W3AuSe from Alexandria via LeMat-Bulk. Energies are from PBE.

Summary:
Energy relative to the elements, uncorrected ... 1.629 eV/atom
SG ... No. 221

Geometry as POSCAR:
```
W3AuSe
1.0
-4.3638 0.3458 -1.3732
0.6652 -3.4268 -2.9769
-1.2501 -3.0307 3.2093
Au Se W
1 1 3
direct
0.5000 0.5000 0.5000 Au
0.0000 0.0000 0.0000 Se
0.0000 0.5000 0.0000 W
0.0000 0.0000 0.5000 W
0.5000 0.0000 0.0000 W
```

No. 3
Here is a relaxed structure of WAu2Se from Alexandria via LeMat-Bulk. Energies are from PBE.

Summary:
Energy relative to the elements, uncorrected ... 0.439 eV/atom
SG ... No. 71

Geometry as POSCAR:
```
WAu2Se
1.0
6.8529 0.0296 0.0397
6.2153 2.8866 0.0397
1.2756 0.2847 4.0081
Au Se W
2 1 1
direct
0.9433 0.9433 0.0562 Au
0.5567 0.5567 0.4438 Au
0.7500 0.7500 0.7500 Se
0.2500 0.2500 0.2500 W
```

No. 4
Here is a relaxed structure of WAuSe2 from Alexandria via LeMat-Bulk. Energies are from PBE.

Summary:
Energy relative to the elements, uncorrected ... 0.612 eV/atom
SG ... No. 225

Geometry as POSCAR:
```
WAuSe2
1.0
0.0000 3.2790 3.2790
3.2790 0.0000 3.2790
3.2790 3.2790 0.0000
Au Se W
1 2 1
direct
0.5000 0.5000 0.5000 Au
0.2500 0.2500 0.2500 Se
0.7500 0.7500 0.7500 Se
0.0000 0.0000 0.0000 W
```

| no. | N(E_F) (states/eV/f.u.) | energy (eV per atom) | total moment (μB per atom) |
| --- | --- | --- | --- |
| 1 | 3.78 | -5.42 | 0.00 |
| 2 | 5.18 | -7.50 | 0.00 |
| 3 | 3.19 | -5.31 | 0.00 |
| 4 | 3.64 | -5.19 | 0.00 |